Crystalline NaYZn17 at its relaxed geometry, computed with PBE.

The volume comes out at 309.4 Å³ per cell. The value obtained for the formation energy is -3.057 kcal/mol of atoms. As for the symmetry: R3m (160).

```
NaYZn17
1.0
6.7635 0.0259 0.8269
0.7351 6.7234 0.8269
0.0288 0.0259 6.8138
Na Y Zn
1 1 17
Cartesian
2.5704 2.3136 2.8915 Na
4.9959 4.4967 5.6200 Y
2.0349 0.0368 5.0149 Zn
4.9511 2.0198 0.8359 Zn
0.5339 4.7120 2.6084 Zn
2.5279 4.7120 0.8359 Zn
0.2500 2.0198 5.0149 Zn
4.7420 0.0368 2.6084 Zn
3.0067 5.6486 3.3822 Zn
2.6638 2.3977 6.2882 Zn
5.9328 2.3977 3.3822 Zn
4.5275 1.1103 5.0930 Zn
4.8730 4.3861 2.1649 Zn
1.5790 4.3861 5.0930 Zn
7.1372 3.4262 8.0287 Zn
7.4865 6.7385 5.0679 Zn
4.1558 6.7385 8.0287 Zn
6.7760 6.0990 7.6224 Zn
0.7654 0.6889 0.8610 Zn
```

---

Crystalline RbVPb3 at its relaxed geometry, computed with PBE.

For the energy above the lowest structure with this stoichiometry, the calculation gives 0 meV per atom. The volume comes out at 158.8 Å³ per cell. The value obtained for the formation energy is 2.753 kcal/mol of atoms. As for the symmetry: Pm-3m (221).

```
RbVPb3
1.0
-1.4950 0.8893 -5.1280
5.0542 -1.0252 -1.6513
-1.2421 -5.2422 -0.5470
Pb Rb V
3 1 1
Cartesian
2.5271 -0.5126 -0.8256 Pb
-0.6210 -2.6211 -0.2735 Pb
-0.7475 0.4447 -2.5640 Pb
1.1586 -2.6891 -3.6631 Rb
0.0000 0.0000 0.0000 V
```

---

Crystalline BaTl2CoSn at its relaxed geometry, computed with PBE.

The volume comes out at 138.9 Å³ per cell. The value obtained for the formation energy is -2.682 kcal/mol of atoms. As for the symmetry: P4/mmm (123).

```
BaTl2CoSn
1.0
5.2088 0.0000 0.0000
0.0000 5.2088 0.0000
0.0000 0.0000 5.1200
Tl Co Ba Sn
2 1 1 1
Cartesian
0.0000 2.6044 0.0000 Tl
2.6044 0.0000 0.0000 Tl
0.0000 0.0000 0.0000 Co
2.6044 2.6044 2.5600 Ba
0.0000 0.0000 2.5600 Sn
```